The following is a DFT calculation (PBE) of a relaxed SbH3W crystal.

Values from the calculation:
Calculated total energy   -3.7924 eV per atom
Theoretical density   9.5 g/cm3
E above lowest polymorph   1.036 eV per atom
Crystal system   cubic
Symmetry   No. 221

a b c (Å): 3.7840 3.7840 3.7840
angles (deg): 90.00 90.00 90.00
Atoms (fractional coordinates):
Sb 0.0000 0.0000 0.0000
W 0.5000 0.5000 0.5000
H 0.0000 0.5000 0.0000
H 0.0000 0.0000 0.5000
H 0.5000 0.0000 0.0000